# 1
DFT (GGA-PBE) results for crystalline InP2Ru at its relaxed geometry.

Unit cell a=4.5120 b=4.5120 c=4.5120 alpha=60.00 beta=60.00 gamma=60.00
Atoms (fractional coordinates):
In  0.5000  0.5000  0.5000
Ru  0.7500  0.7500  0.7500
P  0.0000  0.0000  0.0000
P  0.2500  0.2500  0.2500

***

# 2
DFT (GGA-PBE) results for crystalline InP2Ru at its relaxed geometry.

Unit cell a=2.9868 b=2.9868 c=7.5944 alpha=90.00 beta=90.00 gamma=90.00
Atoms (fractional coordinates):
P  0.0000  0.0000  0.4368
In  0.5000  0.5000  0.7500
P  0.0000  0.0000  0.0632
Ru  0.5000  0.5000  0.2500

***

# 3
DFT (GGA-PBE) results for crystalline InPRu2 at its relaxed geometry.

Unit cell a=6.8999 b=6.8999 c=5.6303 alpha=52.21 beta=52.21 gamma=90.00
Atoms (fractional coordinates):
Ru  0.3750  0.4515  0.7500
P  0.5000  0.5000  0.0000
In  0.7500  0.2500  0.5000
Ru  0.2015  0.6250  0.2500
In  0.0000  0.0000  0.0000
P  0.2500  0.7500  0.5000
Ru  0.8750  0.7985  0.7500
Ru  0.5485  0.1250  0.2500

***

# 4
DFT (GGA-PBE) results for crystalline InPRu2 at its relaxed geometry.

Unit cell a=3.4886 b=3.4886 c=6.7204 alpha=74.96 beta=74.96 gamma=60.00
Atoms (fractional coordinates):
P  0.6677  0.6677  0.9968
Ru  0.0565  0.0565  0.8305
In  0.5003  0.5003  0.4991
Ru  0.2755  0.2755  0.1736

***

# 5
DFT (GGA-PBE) results for crystalline InP2Ru at its relaxed geometry.

Unit cell a=3.3075 b=4.3393 c=4.5388 alpha=90.00 beta=90.00 gamma=90.00
Atoms (fractional coordinates):
P  0.0000  0.0000  0.0000
P  0.5000  0.5000  0.0000
Ru  0.5000  0.0000  0.5000
In  0.0000  0.5000  0.5000

***

# 6
DFT (GGA-PBE) results for crystalline In2PRu at its relaxed geometry.

Unit cell a=4.8608 b=4.8608 c=3.1866 alpha=90.00 beta=90.00 gamma=106.40
Atoms (fractional coordinates):
In  0.0000  0.5000  0.0000
In  0.5000  0.0000  0.0000
Ru  0.5000  0.5000  0.5000
P  0.0000  0.0000  0.5000

***

Calculated size of the total moment in order - 0.000; 0.000; 0.000; 0.000; 0.000; 0.000 μB/atom
Calculated DFT formation energy in order - 0.6076; 0.0057; -0.0140; -0.1824; 0.5142; 0.3078 eV/atom